Density functional theory data (PBE+U) for a geometry-optimized CrAsSe2O structure.

Cell: 4.521 4.521 4.255 Å, 90.00 90.00 90.00°
Positions (direct):
Cr 0.000 0.000 0.000
As 0.500 0.500 0.000
Se 0.000 0.500 0.500
Se 0.500 0.000 0.500
O 0.500 0.500 0.500

**E above lowest polymorph**: 0.000 eV per atom
**SG**: P4/mmm